# Ba3TlSn

Ba3TlSn after structural relaxation (PBE-GGA, the Alexandria database).

Cell lengths 7.8443, 5.4105, 11.0427 Å; angles 90.00, 94.52, 90.00 degrees
With the nearest neighbours (Å) after each atom.
Fractional positions:
Ba: 0.0000 0.0000 0.0000  3 Tl 3.60-3.81, 2 Sn 3.64
Ba: 0.0700 0.5000 0.3674  1 Sn 3.79, 1 Tl 3.91
Ba: 0.2974 0.0000 0.6514  4 Sn 3.64-3.76, 1 Tl 3.71, 3 Ba 3.80-4.08
Ba: 0.4988 0.0000 0.2831  1 Tl 3.43, 2 Sn 3.58
Ba: 0.6194 0.5000 0.8251  2 Tl 3.38, 2 Sn 3.58-3.64
Ba: 0.8118 0.0000 0.6053  4 Sn 3.63-3.85, 3 Ba 3.80-4.01
Tl: 0.2964 0.5000 0.0648  2 Tl 3.27, 1 Sn 3.41, 2 Ba 3.60
Tl: 0.4808 0.0000 0.9720  2 Tl 3.27, 3 Ba 3.38-3.43
Sn: 0.0683 0.5000 0.7886  1 Tl 3.41, 5 Ba 3.58-3.64
Sn: 0.5326 0.5000 0.4960  8 Ba 3.58-3.79

Calculated values
Energy of formation (meV/atom): -376.0
Volume (Å³ per atom): 46.72
Uncorrected energy (Ry/atom): -0.206
Space-group type: Pm, No. 6